First-principles (PBE) data for a geometry-optimized Ge2Pd2O5 structure, as listed in OQMD.

Calculated values
- Electronic total energy: -0.18862 Ha/atom
- ΔE to the lowest computed polymorph: 0.328 eV per atom

a = 3.9766 Å, b = 3.9766 Å, c = 6.7320 Å
α = 90.00°, β = 90.00°, γ = 90.00°
Space group P4/mmm (No. 123)
One atom of each set of equivalent atoms:
Ge (0.0000, 0.0000, 0.0000)
Ge (0.0000, 0.0000, 0.5000)
Pd (0.5000, 0.5000, 0.1935)
O (0.0000, 0.5000, 0.2257)
O (0.5000, 0.5000, 0.5000)